Record 1
Computed, not measured: a PBEsol-optimized structure of ErCoSi at the SCAN level of DFT.

Unit cell a=6.7818 b=4.1201 c=6.6976 alpha=90.00 beta=90.00 gamma=90.00
Sites, in units of the cell vectors:
Er 0.0193 0.2500 0.1857
Er 0.4807 0.7500 0.6857
Er 0.5193 0.2500 0.3143
Er 0.9807 0.7500 0.8143
Co 0.1445 0.7500 0.4345
Co 0.3555 0.2500 0.9345
Co 0.6445 0.7500 0.0655
Co 0.8555 0.2500 0.5655
Si 0.1950 0.2500 0.6090
Si 0.3050 0.7500 0.1090
Si 0.6950 0.2500 0.8910
Si 0.8050 0.7500 0.3910

Computed properties:
Density of states at the Fermi level   1.245 states/eV/f.u.
E_form (uncorrected)   -707.7 meV per atom
Total moment   0.00 μB/f.u.


Record 2
Computed, not measured: a PBEsol-optimized structure of ErCo3Si2 at the SCAN level of DFT.

Unit cell a=6.1579 b=6.1579 c=6.1579 alpha=112.89 beta=87.75 gamma=130.56
Sites, in units of the cell vectors:
Er 0.4659 0.2159 0.2500
Er 0.5341 0.7841 0.7500
Co 0.0000 0.0000 0.5000
Co 0.0000 0.2227 0.2227
Co 0.0000 0.5000 0.0000
Co 0.0000 0.7773 0.7773
Co 0.5000 0.2227 0.7227
Co 0.5000 0.7773 0.2773
Si 0.1234 0.7045 0.4189
Si 0.2144 0.2955 0.9189
Si 0.7856 0.7045 0.0811
Si 0.8766 0.2955 0.5811

Computed properties:
Density of states at the Fermi level   1.833 states/eV/f.u.
E_form (uncorrected)   -667.7 meV per atom
Total moment   0.00 μB/f.u.


Record 3
Computed, not measured: a PBEsol-optimized structure of Er7Co6Sn23 at the SCAN level of DFT.

Unit cell a=9.5089 b=9.5089 c=9.7476 alpha=90.00 beta=90.00 gamma=120.00
Sites, in units of the cell vectors:
Er 0.0000 0.0000 0.0000
Er 0.0419 0.5209 0.3067
Er 0.4791 0.5209 0.3067
Er 0.4791 0.9581 0.3067
Er 0.5209 0.0419 0.6933
Er 0.5209 0.4791 0.6933
Er 0.9581 0.4791 0.6933
Co 0.1685 0.3370 0.8017
Co 0.1685 0.8315 0.8017
Co 0.3370 0.1685 0.1983
Co 0.6630 0.8315 0.8017
Co 0.8315 0.1685 0.1983
Co 0.8315 0.6630 0.1983
Sn 0.0000 0.0000 0.5000
Sn 0.0000 0.3468 0.0000
Sn 0.0000 0.6532 0.0000
Sn 0.1179 0.2358 0.2739
Sn 0.1179 0.8821 0.2739
Sn 0.2181 0.4361 0.5461
Sn 0.2181 0.7819 0.5461
Sn 0.2358 0.1179 0.7261
Sn 0.3333 0.6667 0.1175
Sn 0.3333 0.6667 0.8197
Sn 0.3468 0.0000 0.0000
Sn 0.3468 0.3468 0.0000
Sn 0.4361 0.2181 0.4539
Sn 0.5639 0.7819 0.5461
Sn 0.6532 0.0000 0.0000
Sn 0.6532 0.6532 0.0000
Sn 0.6667 0.3333 0.1803
Sn 0.6667 0.3333 0.8825
Sn 0.7642 0.8821 0.2739
Sn 0.7819 0.2181 0.4539
Sn 0.7819 0.5639 0.4539
Sn 0.8821 0.1179 0.7261
Sn 0.8821 0.7642 0.7261

Computed properties:
Density of states at the Fermi level   8.767 states/eV/f.u.
ΔH_f (0 K)   -381 meV/atom
Total moment   0.00 μB/f.u.


Record 4
Computed, not measured: a PBEsol-optimized structure of ErCoSn2 at the SCAN level of DFT.

Unit cell a=9.4552 b=9.4552 c=4.3168 alpha=90.00 beta=90.00 gamma=154.16
Sites, in units of the cell vectors:
Er 0.1170 0.8830 0.7500
Er 0.8830 0.1170 0.2500
Co 0.3230 0.6770 0.7500
Co 0.6770 0.3230 0.2500
Sn 0.2511 0.7489 0.2500
Sn 0.4523 0.5477 0.7500
Sn 0.5477 0.4523 0.2500
Sn 0.7489 0.2511 0.7500

Computed properties:
Density of states at the Fermi level   2.022 states/eV/f.u.
ΔH_f (0 K)   -342 meV/atom
Total moment   0.00 μB/f.u.


Record 5
Computed, not measured: a PBEsol-optimized structure of Er5Co2Te2 at the SCAN level of DFT.

Unit cell a=7.5875 b=7.5875 c=14.6782 alpha=90.00 beta=90.00 gamma=150.70
Sites, in units of the cell vectors:
Er 0.0385 0.9615 0.6255
Er 0.0385 0.9615 0.8745
Er 0.2586 0.7414 0.1306
Er 0.2586 0.7414 0.3694
Er 0.3938 0.6062 0.7500
Er 0.6062 0.3938 0.2500
Er 0.7414 0.2586 0.6306
Er 0.7414 0.2586 0.8694
Er 0.9615 0.0385 0.1255
Er 0.9615 0.0385 0.3745
Co 0.1799 0.8201 0.7500
Co 0.4120 0.5880 0.2500
Co 0.5880 0.4120 0.7500
Co 0.8201 0.1799 0.2500
Te 0.3827 0.6173 0.5380
Te 0.3827 0.6173 0.9620
Te 0.6173 0.3827 0.0380
Te 0.6173 0.3827 0.4620

Computed properties:
Density of states at the Fermi level   4.677 states/eV/f.u.
E_form (uncorrected)   -758.8 meV per atom
Total moment   0.00 μB/f.u.


Record 6
Computed, not measured: a PBEsol-optimized structure of Eu2CoO4 at the SCAN level of DFT.

Unit cell a=6.5192 b=6.5192 c=6.5192 alpha=146.77 beta=146.77 gamma=47.71
Sites, in units of the cell vectors:
Eu 0.1399 0.1399 0.0000
Eu 0.8601 0.8601 0.0000
Co 0.5000 0.5000 0.0000
O 0.0000 0.5000 0.5000
O 0.3347 0.3347 0.0000
O 0.5000 0.0000 0.5000
O 0.6653 0.6653 0.0000

Computed properties:
Density of states at the Fermi level   11.750 states/eV/f.u.
E_form (uncorrected)   -2637.9 meV per atom
Total moment   13.00 μB/f.u.


> Look up the total moment of the fifth one.

0.00 μB/f.u.